A geometry-optimized Sr2HfCl structure. Source: the Alexandria database, functional PBE-GGA.

Cell lengths 5.876, 5.876, 5.876 Å; angles 60.00, 60.00, 60.00 degrees
Atoms (fractional coordinates):
Sr1 0.250 0.250 0.250
Sr2 0.750 0.750 0.750
Hf1 0.000 0.000 0.000
Cl1 0.500 0.500 0.500

## Properties
**Formation energy without anion corrections**: 314 meV per atom
**Energy**: -13.91 eV per cell
**DOS at the Fermi energy**: 5.758 states/eV per cell
**Mass density**: 4.5 Mg/m³


A geometry-optimized TlHg2Au structure. Source: the Alexandria database, functional PBE-GGA.

Cell lengths 6.699, 6.699, 6.699 Å; angles 101.64, 101.64, 126.62 degrees
Atoms (fractional coordinates):
Tl1 0.000 0.000 0.000
Tl2 0.750 0.250 0.500
Hg1 0.162 0.125 0.537
Hg2 0.375 0.838 0.963
Hg3 0.588 0.625 0.463
Hg4 0.875 0.412 0.037
Au1 0.250 0.750 0.500
Au2 0.500 0.500 0.000

## Properties
**Energy**: -12.12 eV per cell
**DOS at the Fermi energy**: 2.857 states/eV per cell
**Mass density**: 12.4 Mg/m³


A geometry-optimized AgOs2Cl11 structure. Source: the Alexandria database, functional PBE-GGA.

Cell lengths 10.070, 10.070, 12.548 Å; angles 116.37, 116.37, 75.71 degrees
Atoms (fractional coordinates):
Ag1 0.166 0.834 0.000
Ag2 0.834 0.166 0.000
Os1 0.063 0.063 0.566
Os2 0.284 0.284 0.205
Os3 0.541 0.541 0.141
Os4 0.754 0.754 0.817
Cl1 0.044 0.312 0.053
Cl2 0.142 0.884 0.649
Cl3 0.183 0.927 0.430
Cl4 0.190 0.190 0.290
Cl5 0.228 0.228 0.712
Cl6 0.257 0.521 0.338
Cl7 0.312 0.044 0.053
Cl8 0.349 0.605 0.973
Cl9 0.363 0.363 0.082
Cl10 0.450 0.717 0.287
Cl11 0.521 0.257 0.338
Cl12 0.565 0.830 0.888
Cl13 0.605 0.349 0.973
Cl14 0.613 0.613 0.615
Cl15 0.695 0.695 0.171
Cl16 0.698 0.962 0.762
Cl17 0.717 0.450 0.287
Cl18 0.830 0.565 0.888
Cl19 0.884 0.142 0.649
Cl20 0.915 0.915 0.036
Cl21 0.927 0.183 0.430
Cl22 0.962 0.698 0.762

## Properties
**Formation energy without anion corrections**: -381 meV per atom
**Energy**: -101.91 eV per cell
**Mass density**: 2.9 Mg/m³


- Which of these has the lowest mass density?
  AgOs2Cl11